(1)
Entry from the Alexandria database: a geometry-optimized MnSe2Br structure (GGA-PBE).

Energy above the lowest structure with this stoichiometry ... 780 meV/atom
Spin magnetization ... 3.6 μB/cell
Final energy ... -0.29653 Ry/atom
Space group ... F-43m
Formation energy from raw total energies ... 0.4183 eV/atom
N(E_F) ... 2.42 states/eV/f.u.

abc: 4.902 4.902 4.902
angles: 120.03 120.03 89.95
Sites, in units of the cell vectors:
Br  0.500  0.500  0.000
Mn  0.750  0.250  0.500
Se  0.000  0.000  0.000
Se  0.250  0.750  0.500

---

(2)
Entry from the Alexandria database: a geometry-optimized SrAcAg4 structure (GGA-PBE).

Energy above the lowest structure with this stoichiometry ... 8 meV/atom
Spin magnetization ... 0.0 μB/cell
Formation energy ... -0.29 eV/atom
Final energy ... -0.23163 Ry/atom
Space group ... Pmmm
N(E_F) ... 3.87 states/eV/f.u.

abc: 4.021 4.920 8.314
angles: 90.00 90.00 90.00
Sites, in units of the cell vectors:
Sr  0.999  0.497  0.998
Ac  0.999  0.997  0.498
Ag  0.499  0.997  0.166
Ag  0.499  0.997  0.830
Ag  0.499  0.497  0.667
Ag  0.499  0.497  0.329

---

(3)
Entry from the Alexandria database: a geometry-optimized S6BrO2 structure (GGA-PBE).

Spin magnetization ... 10.1 μB/cell
Final energy ... -0.29328 Ry/atom
Space group ... C2/c
Formation energy from raw total energies ... 0.0490 eV/atom
N(E_F) ... 0.42 states/eV/f.u.

abc: 15.470 9.319 15.470
angles: 41.38 76.94 41.38
Sites, in units of the cell vectors:
S  0.435  0.545  0.636
S  0.364  0.955  0.565
S  0.565  0.455  0.364
S  0.636  0.045  0.435
S  0.987  0.105  0.587
S  0.413  0.395  0.013
S  0.013  0.895  0.413
S  0.587  0.605  0.987
S  0.274  0.596  0.053
S  0.947  0.904  0.726
S  0.726  0.404  0.947
S  0.053  0.096  0.274
Br  0.882  0.750  0.118
Br  0.118  0.250  0.882
O  0.364  0.844  0.276
O  0.724  0.656  0.636
O  0.636  0.156  0.724
O  0.276  0.344  0.364

---

(4)
Entry from the Alexandria database: a geometry-optimized TlCu2Ni2 structure (GGA-PBE).

Energy above the lowest structure with this stoichiometry ... 16 meV/atom
Spin magnetization ... 0.0 μB/cell
Formation energy ... 0.26 eV/atom
Final energy ... -0.30622 Ry/atom
Space group ... P4/mbm
N(E_F) ... 3.16 states/eV/f.u.

abc: 6.978 6.978 2.864
angles: 90.00 90.00 90.00
Sites, in units of the cell vectors:
Ni  0.167  0.667  0.500
Ni  0.667  0.833  0.500
Ni  0.833  0.333  0.500
Ni  0.333  0.167  0.500
Tl  0.000  0.000  0.000
Tl  0.500  0.500  0.000
Cu  0.375  0.875  0.000
Cu  0.875  0.625  0.000
Cu  0.625  0.125  0.000
Cu  0.125  0.375  0.000

---

(5)
Entry from the Alexandria database: a geometry-optimized KGa2SnRu structure (GGA-PBE).

Spin magnetization ... 0.0 μB/cell
Formation energy ... -0.15 eV/atom
Final energy ... -0.31115 Ry/atom
Space group ... P4/mmm
N(E_F) ... 3.72 states/eV/f.u.

abc: 4.899 4.899 5.201
angles: 90.00 90.00 90.00
Sites, in units of the cell vectors:
Ru  0.000  0.000  0.000
K  0.500  0.500  0.500
Sn  0.000  0.000  0.500
Ga  0.000  0.500  0.000
Ga  0.500  0.000  0.000

---

(6)
Entry from the Alexandria database: a geometry-optimized SrNp2As3 structure (GGA-PBE).

Spin magnetization ... 13.9 μB/cell
Formation energy ... -0.61 eV/atom
Final energy ... -0.55330 Ry/atom
Space group ... P6_3/mcm
N(E_F) ... 15.06 states/eV/f.u.

abc: 7.227 7.227 7.612
angles: 90.00 90.00 120.00
Sites, in units of the cell vectors:
Sr  0.500  0.000  0.250
Sr  0.500  0.000  0.750
Np  0.167  0.333  0.500
Np  0.167  0.333  0.000
Np  0.833  0.667  0.000
Np  0.833  0.667  0.500
As  0.065  0.565  0.750
As  0.500  0.435  0.750
As  0.935  0.435  0.250
As  0.935  0.000  0.750
As  0.065  0.000  0.250
As  0.500  0.565  0.250

---

(7)
Entry from the Alexandria database: a geometry-optimized K2TiZnO4 structure (GGA-PBE).

Energy above the lowest structure with this stoichiometry ... 0 meV/atom
Spin magnetization ... 0.0 μB/cell
Final energy ... -0.44690 Ry/atom
Space group ... Pca2_1
Formation energy from raw total energies ... -2.1808 eV/atom
N(E_F) ... 0.00 states/eV/f.u.

abc: 5.717 11.460 16.186
angles: 90.00 90.00 90.00
Sites, in units of the cell vectors:
K  0.963  0.768  0.870
K  0.037  0.232  0.370
K  0.037  0.268  0.870
K  0.963  0.732  0.370
K  0.986  0.509  0.744
K  0.014  0.491  0.244
K  0.014  0.009  0.744
K  0.986  0.991  0.244
K  0.465  0.734  0.502
K  0.535  0.266  0.002
K  0.535  0.234  0.502
K  0.465  0.766  0.002
K  0.492  0.989  0.625
K  0.508  0.011  0.125
K  0.508  0.489  0.625
K  0.492  0.511  0.125
Ti  0.480  0.511  0.875
Ti  0.520  0.489  0.375
Ti  0.520  0.011  0.875
Ti  0.480  0.989  0.375
Ti  0.981  0.735  0.619
Ti  0.019  0.265  0.119
Ti  0.019  0.235  0.619
Ti  0.981  0.765  0.119
Zn  0.983  0.989  0.494
Zn  0.017  0.011  0.994
Zn  0.017  0.489  0.494
Zn  0.983  0.511  0.994
Zn  0.478  0.764  0.750
Zn  0.522  0.236  0.250
Zn  0.522  0.264  0.750
Zn  0.478  0.736  0.250
O  0.416  0.664  0.847
O  0.584  0.336  0.347
O  0.584  0.164  0.847
O  0.416  0.836  0.347
O  0.711  0.695  0.674
O  0.289  0.305  0.174
O  0.289  0.195  0.674
O  0.711  0.805  0.174
O  0.885  0.402  0.084
O  0.115  0.598  0.584
O  0.115  0.902  0.084
O  0.885  0.098  0.584
O  0.792  0.485  0.894
O  0.208  0.515  0.394
O  0.208  0.985  0.894
O  0.792  0.015  0.394
O  0.809  0.306  0.688
O  0.191  0.694  0.188
O  0.191  0.806  0.688
O  0.809  0.194  0.188
O  0.684  0.977  0.969
O  0.316  0.023  0.469
O  0.316  0.477  0.969
O  0.684  0.523  0.469
O  0.916  0.827  0.529
O  0.084  0.173  0.029
O  0.084  0.327  0.529
O  0.916  0.673  0.029
O  0.614  0.915  0.790
O  0.386  0.085  0.290
O  0.386  0.415  0.790
O  0.614  0.585  0.290

---

(8)
Entry from the Alexandria database: a geometry-optimized Nd3BiS6 structure (GGA-PBE).

Energy above the lowest structure with this stoichiometry ... 0 meV/atom
Spin magnetization ... 0.0 μB/cell
Final energy ... -0.43376 Ry/atom
Space group ... R-3
Formation energy from raw total energies ... -1.6067 eV/atom
N(E_F) ... 0.00 states/eV/f.u.

abc: 8.319 8.319 8.319
angles: 91.15 91.15 91.15
Sites, in units of the cell vectors:
Nd  0.436  0.927  0.752
Nd  0.927  0.752  0.436
Nd  0.248  0.564  0.073
Nd  0.752  0.436  0.927
Nd  0.073  0.248  0.564
Nd  0.564  0.073  0.248
Bi  0.000  0.000  0.000
Bi  0.500  0.500  0.500
S  0.315  0.904  0.077
S  0.096  0.923  0.685
S  0.597  0.819  0.468
S  0.923  0.685  0.096
S  0.468  0.597  0.819
S  0.181  0.532  0.403
S  0.819  0.468  0.597
S  0.532  0.403  0.181
S  0.077  0.315  0.904
S  0.403  0.181  0.532
S  0.904  0.077  0.315
S  0.685  0.096  0.923

---

(9)
Entry from the Alexandria database: a geometry-optimized TlPtW2 structure (GGA-PBE).

Energy above the lowest structure with this stoichiometry ... 158 meV/atom
Spin magnetization ... 0.0 μB/cell
Formation energy ... 0.54 eV/atom
Final energy ... -0.59078 Ry/atom
Space group ... P2/m
N(E_F) ... 2.47 states/eV/f.u.

abc: 4.247 2.831 6.487
angles: 64.34 90.00 90.00
Sites, in units of the cell vectors:
Pt  0.500  0.250  0.250
Tl  0.500  0.750  0.750
W  0.000  0.972  0.031
W  0.000  0.528  0.469

---

(10)
Entry from the Alexandria database: a geometry-optimized VGeS2 structure (GGA-PBE).

Spin magnetization ... 5.1 μB/cell
Final energy ... -0.42151 Ry/atom
Space group ... I-42d
Formation energy from raw total energies ... -0.2372 eV/atom
N(E_F) ... 2.86 states/eV/f.u.

abc: 5.941 5.941 6.671
angles: 63.56 63.56 90.00
Sites, in units of the cell vectors:
Ge  0.000  0.000  0.000
Ge  0.750  0.250  0.500
S  0.581  0.125  0.250
S  0.169  0.625  0.250
S  0.375  0.419  0.750
S  0.875  0.831  0.750
V  0.500  0.500  0.000
V  0.250  0.750  0.500

---

(11)
Entry from the Alexandria database: a geometry-optimized RbCaO3 structure (GGA-PBE).

Spin magnetization ... 0.0 μB/cell
Final energy ... -0.27494 Ry/atom
Space group ... Pm-3m
Formation energy from raw total energies ... -0.1721 eV/atom
N(E_F) ... 1.11 states/eV/f.u.

abc: 4.281 4.281 4.281
angles: 90.00 90.00 90.00
Sites, in units of the cell vectors:
Ca  0.500  0.500  0.500
O  0.000  0.500  0.000
O  0.000  0.000  0.500
O  0.500  0.000  0.000
Rb  0.000  0.000  0.000

---

(12)
Entry from the Alexandria database: a geometry-optimized LiBePd2 structure (GGA-PBE).

Spin magnetization ... 0.0 μB/cell
Formation energy ... -0.54 eV/atom
Final energy ... -0.33404 Ry/atom
Space group ... P4/mmm
N(E_F) ... 0.73 states/eV/f.u.

abc: 2.873 4.089 4.089
angles: 90.00 90.00 90.00
Sites, in units of the cell vectors:
Be  0.500  0.500  0.500
Pd  0.000  0.000  0.500
Pd  0.000  0.500  0.000
Li  0.500  0.000  0.000